Entry 1:
Here is an optimized crystal structure of HgIr2Cl from the Alexandria database. Energies are from GGA-PBEsol.

Summary:
Formation energy from raw total energies = 0.765 eV/atom

```
HgIr2Cl
1.0
2.900 0.000 0.000
0.000 4.525 0.000
-0.042 0.000 4.932
Hg Ir Cl
1 2 1
Direct
0.000 0.000 0.000 Hg
0.270 0.500 0.264 Ir
0.730 0.500 0.736 Ir
0.500 0.000 0.500 Cl
```

=====

Entry 2:
Here is an optimized crystal structure of Cr5Ir from the Alexandria database. Energies are from GGA-PBEsol.

Summary:
Formation energy = 2 kJ per mole of atoms

```
Cr5Ir
1.0
2.816 0.000 0.000
0.000 2.816 0.000
0.000 0.000 8.819
Cr Ir
5 1
Direct
0.000 0.000 0.000 Cr
0.000 0.000 0.310 Cr
0.000 0.000 0.690 Cr
0.500 0.500 0.159 Cr
0.500 0.500 0.841 Cr
0.500 0.500 0.500 Ir
```

=====

Entry 3:
Here is an optimized crystal structure of BeAl2GeSe from the Alexandria database. Energies are from GGA-PBEsol.

Summary:
Formation energy from raw total energies = 0.924 eV/atom

```
BeAl2GeSe
1.0
4.805 0.000 0.000
0.000 4.805 0.000
0.000 0.000 5.073
Be Al Ge Se
1 2 1 1
Direct
0.000 0.000 0.000 Be
0.000 0.500 0.500 Al
0.500 0.000 0.500 Al
0.500 0.500 0.500 Ge
0.500 0.500 0.000 Se
```

=====

Entry 4:
Here is an optimized crystal structure of GaNi9B8 from the Alexandria database. Energies are from GGA-PBEsol.

Summary:
Formation energy = -30 kJ per mole of atoms

```
GaNi9B8
1.0
3.532 -4.013 0.000
3.532 4.013 0.000
0.000 0.000 10.671
Ga Ni B
2 18 16
Direct
0.088 0.912 0.750 Ga
0.912 0.088 0.250 Ga
0.000 0.000 0.000 Ni
0.000 0.000 0.500 Ni
0.051 0.392 0.750 Ni
0.239 0.379 0.114 Ni
0.239 0.379 0.386 Ni
0.290 0.710 0.581 Ni
0.290 0.710 0.919 Ni
0.379 0.239 0.614 Ni
0.379 0.239 0.886 Ni
0.392 0.051 0.250 Ni
0.608 0.949 0.750 Ni
0.621 0.761 0.114 Ni
0.621 0.761 0.386 Ni
0.710 0.290 0.081 Ni
0.710 0.290 0.419 Ni
0.761 0.621 0.614 Ni
0.761 0.621 0.886 Ni
0.949 0.608 0.250 Ni
0.044 0.382 0.551 B
0.044 0.382 0.949 B
0.220 0.780 0.119 B
0.220 0.780 0.381 B
0.352 0.648 0.250 B
0.382 0.044 0.051 B
0.382 0.044 0.449 B
0.433 0.567 0.750 B
0.567 0.433 0.250 B
0.618 0.956 0.551 B
0.618 0.956 0.949 B
0.648 0.352 0.750 B
0.780 0.220 0.619 B
0.780 0.220 0.881 B
0.956 0.618 0.051 B
0.956 0.618 0.449 B
```

=====

Entry 5:
Here is an optimized crystal structure of Ti3HOs from the Alexandria database. Energies are from GGA-PBEsol.

Summary:
E = -8.352 eV per atom

```
Ti3HOs
1.0
3.976 0.000 0.000
0.000 3.976 0.000
0.000 0.000 3.976
Ti H Os
3 1 1
Direct
0.000 0.000 0.500 Ti
0.000 0.500 0.000 Ti
0.500 0.000 0.000 Ti
0.000 0.000 0.000 H
0.500 0.500 0.500 Os
```

=====

Entry 6:
Here is an optimized crystal structure of LiCuNi2 from the Alexandria database. Energies are from GGA-PBEsol.

Summary:
Formation energy = 2 kJ per mole of atoms

```
LiCuNi2
1.0
2.400 0.000 0.000
0.000 4.090 0.000
-0.337 0.000 4.348
Li Cu Ni
1 1 2
Direct
0.000 0.000 0.000 Li
0.500 0.000 0.500 Cu
0.237 0.500 0.751 Ni
0.763 0.500 0.249 Ni
```

=====

Entry 7:
Here is an optimized crystal structure of BeSiRh2 from the Alexandria database. Energies are from GGA-PBEsol.

Summary:
Formation energy from raw total energies = -0.828 eV/atom

```
BeSiRh2
1.0
4.016 0.000 0.000
0.000 4.016 0.000
0.000 0.000 2.839
Be Si Rh
1 1 2
Direct
0.000 0.000 0.000 Be
0.500 0.500 0.000 Si
0.000 0.500 0.500 Rh
0.500 0.000 0.500 Rh
```

=====

Entry 8:
Here is an optimized crystal structure of BaLaAl2 from the Alexandria database. Energies are from GGA-PBEsol.

Summary:
Formation energy = 22 kJ per mole of atoms

```
BaLaAl2
1.0
7.578 0.000 0.000
0.000 7.578 0.000
0.000 0.000 7.578
Ba La Al
4 4 8
Direct
0.000 0.000 0.000 Ba
0.000 0.500 0.500 Ba
0.500 0.000 0.500 Ba
0.500 0.500 0.000 Ba
0.250 0.250 0.750 La
0.250 0.750 0.250 La
0.750 0.250 0.250 La
0.750 0.750 0.750 La
0.000 0.000 0.500 Al
0.000 0.500 0.000 Al
0.250 0.250 0.250 Al
0.250 0.750 0.750 Al
0.500 0.000 0.000 Al
0.500 0.500 0.500 Al
0.750 0.250 0.750 Al
0.750 0.750 0.250 Al
```